No. 1
# GeAu2I (PBE, optimized geometry)
data_GeAu2I
_cell_length_a 4.4850
_cell_length_b 4.4850
_cell_length_c 20.5523
_cell_angle_alpha 90.00
_cell_angle_beta 90.00
_cell_angle_gamma 120.00
_symmetry_space_group_name_H-M 'R -3 m'
_symmetry_Int_Tables_number 166
_symmetry_space_group_name_Hall '-R 3 2"'
loop_
_atom_site_label
_atom_site_type_symbol
_atom_site_fract_x
_atom_site_fract_y
_atom_site_fract_z
Ge1 Ge 0.0000 0.0000 0.0000
Au1 Au 0.0000 0.0000 0.3643
I1 I 0.0000 0.0000 0.5000
# E above lowest polymorph (kJ/mol of atoms): 0.0
# V (Å³ per cell): 358.0

---

No. 2
# GeAuI2 (PBE, optimized geometry)
data_GeAuI2
_cell_length_a 7.5523
_cell_length_b 7.5523
_cell_length_c 7.5523
_cell_angle_alpha 90.00
_cell_angle_beta 90.00
_cell_angle_gamma 90.00
_symmetry_space_group_name_H-M 'F m -3 m'
_symmetry_Int_Tables_number 225
_symmetry_space_group_name_Hall '-F 4 2 3'
loop_
_atom_site_label
_atom_site_type_symbol
_atom_site_fract_x
_atom_site_fract_y
_atom_site_fract_z
Ge1 Ge 0.0000 0.0000 0.0000
Au1 Au 0.0000 0.0000 0.5000
I1 I 0.2500 0.2500 0.2500
# E above lowest polymorph (kJ/mol of atoms): 7.5
# V (Å³ per cell): 430.8

---

No. 3
# GeAuI (PBE, optimized geometry)
data_GeAuI
_cell_length_a 4.5961
_cell_length_b 6.4963
_cell_length_c 8.0240
_cell_angle_alpha 99.50
_cell_angle_beta 106.50
_cell_angle_gamma 109.86
_symmetry_space_group_name_H-M 'P -1'
_symmetry_Int_Tables_number 2
loop_
_symmetry_equiv_pos_as_xyz
'x,y,z'
'-x,-y,-z'
loop_
_atom_site_label
_atom_site_type_symbol
_atom_site_fract_x
_atom_site_fract_y
_atom_site_fract_z
Ge1 Ge 0.0762 0.4104 0.2362
Au1 Au 0.3362 0.5626 0.6132
I1 I 0.2527 0.8322 0.1815
# E above lowest polymorph (kJ/mol of atoms): 0.0
# V (Å³ per cell): 206.7

---

No. 4
# GeAuI3 (PBE, optimized geometry)
data_GeAuI3
_cell_length_a 5.6430
_cell_length_b 5.6430
_cell_length_c 5.6430
_cell_angle_alpha 90.00
_cell_angle_beta 90.00
_cell_angle_gamma 90.00
_symmetry_space_group_name_H-M 'P m -3 m'
_symmetry_Int_Tables_number 221
_symmetry_space_group_name_Hall '-P 4 2 3'
loop_
_atom_site_label
_atom_site_type_symbol
_atom_site_fract_x
_atom_site_fract_y
_atom_site_fract_z
Ge1 Ge 0.0000 0.0000 0.0000
Au1 Au 0.5000 0.5000 0.5000
I1 I 0.0000 0.5000 0.5000
# E above lowest polymorph (kJ/mol of atoms): 54.8
# V (Å³ per cell): 179.7